This record from the Alexandria database describes a relaxed structure of Sr3CoBi. The functional is PBE.

Summary:
Volume: 34.50 A^3/atom
Size of the total moment: 0.00 μB per formula unit
Calculated formation energy: -101 meV/atom
Crystal system: cubic

abc: 5.5665 5.5665 5.5665
angles: 90.00 90.00 90.00
Closest atoms and distances in Å follow each position.
Sites, in units of the cell vectors:
Sr 0.0000 0.5000 0.0000  2 Co 2.78
Sr 0.0000 0.0000 0.5000  2 Co 2.78
Sr 0.5000 0.0000 0.0000  2 Co 2.78
Co 0.0000 0.0000 0.0000  6 Sr 2.78
Bi 0.5000 0.5000 0.5000  12 Sr 3.94



This record from the Alexandria database describes a relaxed structure of KBaCa2Pt. The functional is PBE.

Summary:
Volume: 41.89 A^3/atom
Polymorph energy (0 for the lowest one): 182 meV per atom
Size of the total moment: 0.00 μB per formula unit
Calculated formation energy: -212 meV/atom
Crystal system: tetragonal

abc: 5.6973 5.6973 6.4530
angles: 90.00 90.00 90.00
Closest atoms and distances in Å follow each position.
Sites, in units of the cell vectors:
K 0.0000 0.0000 0.5000  2 Pt 3.23
Ca 0.0000 0.5000 0.0000  2 Pt 2.85
Ca 0.5000 0.0000 0.0000  2 Pt 2.85
Ba 0.5000 0.5000 0.5000  4 K 4.03, 8 Ca 4.30
Pt 0.0000 0.0000 0.0000  4 Ca 2.85



This record from the Alexandria database describes a relaxed structure of Sr3Ge2Sb4. The functional is PBE.

Summary:
Volume: 33.67 A^3/atom
Uncorrected formation energy: -558.2 meV/atom
Size of the total moment: 0.00 μB per formula unit
Crystal system: monoclinic

abc: 6.9486 9.4415 9.4415
angles: 78.29 91.81 91.81
Closest atoms and distances in Å follow each position.
Sites, in units of the cell vectors:
Sr 0.9377 0.9959 0.2538  6 Sb 3.37-3.54
Sr 0.5623 0.7462 0.0041  6 Sb 3.37-3.54
Sr 0.0623 0.0041 0.7462  6 Sb 3.37-3.54
Sr 0.4377 0.2538 0.9959  6 Sb 3.37-3.54
Sr 0.2500 0.6081 0.3919  6 Sb 3.36-3.42, 2 Ge 3.59
Sr 0.7500 0.3919 0.6081  6 Sb 3.36-3.42, 2 Ge 3.59
Ge 0.4559 0.1694 0.4174  3 Sb 2.73-2.79
Ge 0.0441 0.5826 0.8306  3 Sb 2.73-2.79
Ge 0.5441 0.8306 0.5826  3 Sb 2.73-2.79
Ge 0.9559 0.4174 0.1694  3 Sb 2.73-2.79
Sb 0.4337 0.9452 0.2654  2 Ge 2.79-3.05
Sb 0.0663 0.7346 0.0548  2 Ge 2.79-3.05
Sb 0.5663 0.0548 0.7346  2 Ge 2.79-3.05
Sb 0.9337 0.2654 0.9452  2 Ge 2.79-3.05
Sb 0.0879 0.2566 0.4306  2 Ge 2.73-2.77
Sb 0.4121 0.5694 0.7434  2 Ge 2.73-2.77
Sb 0.9121 0.7434 0.5694  2 Ge 2.73-2.77
Sb 0.5879 0.4306 0.2566  2 Ge 2.73-2.77



This record from the Alexandria database describes a relaxed structure of LiScSeF2. The functional is PBE.

Summary:
Volume: 17.79 A^3/atom
Uncorrected formation energy: -2691.9 meV/atom
Size of the total moment: 0.00 μB per formula unit
Crystal system: tetragonal

abc: 4.0571 4.0571 5.4051
angles: 90.00 90.00 90.00
Closest atoms and distances in Å follow each position.
Sites, in units of the cell vectors:
Sc 0.0000 0.0000 0.0000  4 F 2.03
Li 0.5000 0.5000 0.5000  4 Se 2.87
Se 0.0000 0.0000 0.5000  2 Sc 2.70, 4 Li 2.87
F 0.0000 0.5000 0.0000  2 Sc 2.03
F 0.5000 0.0000 0.0000  2 Sc 2.03



Q: Look up the size of the total moment of the third one.
A: 0.00 μB per formula unit